Computed, not measured: a relaxed Cs3In5Bi2 crystal at the PBE-GGA level of DFT.

Cell: 7.821 11.059 11.059 Å, 67.36 69.29 69.29°
Fractional positions:
Cs (0.250, 0.000, 0.000)
Cs (0.627, 0.625, 0.121)
Cs (0.373, 0.375, 0.879)
Cs (0.127, 0.121, 0.625)
Cs (0.750, 0.000, 0.000)
Cs (0.873, 0.879, 0.375)
In (0.380, 0.743, 0.498)
In (0.980, 0.270, 0.270)
In (0.750, 0.500, 0.500)
In (0.250, 0.500, 0.500)
In (0.120, 0.502, 0.257)
In (0.020, 0.730, 0.730)
In (0.620, 0.257, 0.502)
In (0.480, 0.270, 0.270)
In (0.520, 0.730, 0.730)
In (0.880, 0.498, 0.743)
Bi (0.337, 0.029, 0.297)
Bi (0.663, 0.971, 0.703)
Bi (0.837, 0.297, 0.029)
Bi (0.163, 0.703, 0.971)

Calculated values
As for the formation energy from the elements: -185 meV per atom. As for the crystal system: orthorhombic. The volume is 799 Å³/cell. The calculation puts the density of states at the Fermi level at 5.89 states/eV per cell. The value obtained for the density is 5780 kg/m³. For the total energy, the calculation gives -2.5862 eV/atom.

Computed, not measured: a relaxed CaTlTc3 crystal at the PBE-GGA level of DFT.

Cell: 4.734 4.734 4.734 Å, 90.00 90.00 90.00°
Last column: magnetic moment on the atom in μB.
Fractional positions:
Tl (0.500, 0.500, 0.500)  -0.03
Tc (0.000, 0.000, 0.500)  1.06
Tc (0.000, 0.500, 0.000)  1.17
Tc (0.500, 0.000, 0.000)  1.34
Ca (0.000, 0.000, 0.000)  0.02

Calculated values
As for the formation energy from the elements: 2392 meV per atom. As for the crystal system: cubic. The volume is 106 Å³/cell. The calculation puts the density of states at the Fermi level at 9.04 states/eV per cell. As for the polymorph energy (0 for the lowest one): 378.1 meV/atom. The value obtained for the density is 8427 kg/m³. For the total energy, the calculation gives -4.7007 eV/atom.

Computed, not measured: a relaxed GaRuPb crystal at the PBE-GGA level of DFT.

Cell: 4.034 3.127 10.105 Å, 90.00 90.00 90.00°
Fractional positions:
Ga (0.500, 0.000, 0.949)
Ga (0.500, 0.500, 0.449)
Ru (0.000, 0.500, 0.927)
Ru (0.000, 0.000, 0.427)
Pb (0.000, 0.000, 0.697)
Pb (0.000, 0.500, 0.197)

Calculated values
As for the formation energy from the elements: 41 meV per atom. As for the crystal system: orthorhombic. The volume is 127 Å³/cell. The calculation puts the density of states at the Fermi level at 2.15 states/eV per cell. The value obtained for the density is 9849 kg/m³. For the total energy, the calculation gives -5.2956 eV/atom.

Computed, not measured: a relaxed Dy3B9Os2 crystal at the PBE-GGA level of DFT.

Cell: 3.155 7.964 7.964 Å, 59.86 78.58 78.58°
Fractional positions:
B (0.364, 0.315, 0.956)
B (0.869, 0.878, 0.385)
B (0.869, 0.385, 0.878)
B (0.636, 0.044, 0.685)
B (0.131, 0.122, 0.615)
B (0.131, 0.615, 0.122)
B (0.636, 0.685, 0.044)
B (0.000, 0.500, 0.500)
B (0.364, 0.956, 0.315)
Os (0.500, 0.325, 0.675)
Os (0.500, 0.675, 0.325)
Dy (0.731, 0.269, 0.269)
Dy (0.000, 0.000, 0.000)
Dy (0.269, 0.731, 0.731)

Calculated values
As for the formation energy from the elements: -190 meV per atom. As for the crystal system: orthorhombic. The volume is 168 Å³/cell. The calculation puts the density of states at the Fermi level at 8.17 states/eV per cell. The value obtained for the density is 9514 kg/m³. For the total energy, the calculation gives -7.0729 eV/atom.

Q: Which of these has the highest volume?
A: Cs3In5Bi2